[1]
An optimized crystal structure of Ag5SeF4. Source: Alexandria, functional PBE-GGA.

abc: 6.2471 6.2471 6.2471
angles: 99.71 99.71 131.51
Closest atoms and distances in Å follow each position.
Positions (direct):
Ag1 0.0000 0.0000 0.0000  2 Se 2.56-2.57, 4 F 2.65
Ag2 0.2036 0.3903 0.5828  3 F 2.31-2.58
Ag3 0.3903 0.8076 0.1867  3 F 2.31-2.58
Ag4 0.6209 0.2036 0.8133  3 F 2.31-2.58
Ag5 0.8076 0.6209 0.4172  3 F 2.31-2.58
Se1 0.5005 0.5005 0.0000  6 Ag 2.56-2.60
F1 0.0873 0.6878 0.7619  3 Ag 2.31-2.58
F2 0.3254 0.0873 0.3995  3 Ag 2.31-2.58
F3 0.6878 0.9259 0.6005  3 Ag 2.31-2.58
F4 0.9259 0.3254 0.2381  3 Ag 2.31-2.58

Results
- raw formation energy (eV per formula unit) = -8.1
- DOS at the Fermi energy (states/eV/atom) = 0.542


[2]
An optimized crystal structure of CrCo2Au. Source: Alexandria, functional PBE-GGA.

abc: 3.7314 3.7314 7.4979
angles: 90.00 90.00 90.00
Closest atoms and distances in Å follow each position.
Positions (direct):
Cr1 0.0000 0.0000 0.0000  4 Au 2.64, 8 Co 2.64
Cr2 0.5000 0.5000 0.5000  4 Au 2.64, 8 Co 2.64
Co1 0.0000 0.5000 0.2500  4 Co 2.64, 4 Cr 2.64, 4 Au 2.64
Co2 0.0000 0.5000 0.7500  4 Co 2.64, 4 Cr 2.64, 4 Au 2.64
Co3 0.5000 0.0000 0.2500  4 Co 2.64, 4 Cr 2.64, 4 Au 2.64
Co4 0.5000 0.0000 0.7500  4 Co 2.64, 4 Cr 2.64, 4 Au 2.64
Au1 0.0000 0.0000 0.5000  4 Cr 2.64, 8 Co 2.64
Au2 0.5000 0.5000 0.0000  4 Cr 2.64, 8 Co 2.64

Results
- raw total energy (eV/atom) = -6.550
- DOS at the Fermi energy (states/eV/atom) = 1.449


[3]
An optimized crystal structure of CsTl3As2. Source: Alexandria, functional PBE-GGA.

abc: 10.1792 10.1792 8.4607
angles: 94.01 94.01 28.57
Closest atoms and distances in Å follow each position.
Positions (direct):
Cs1 0.1096 0.1096 0.2001  5 Tl 3.74-3.97, 6 As 3.79-4.06
Cs2 0.8904 0.8904 0.7999  5 Tl 3.74-3.97, 6 As 3.79-4.06
Tl1 0.0699 0.0699 0.6859  3 As 3.13-3.14
Tl2 0.3141 0.3141 0.0700  4 As 3.03-3.09, 1 Tl 3.35
Tl3 0.3174 0.3174 0.4669  3 As 3.07-3.20, 1 Tl 3.35
Tl4 0.6826 0.6826 0.5331  3 As 3.07-3.20, 1 Tl 3.35
Tl5 0.6859 0.6859 0.9300  4 As 3.03-3.09, 1 Tl 3.35
Tl6 0.9301 0.9301 0.3141  3 As 3.13-3.14
As1 0.2285 0.2285 0.7499  7 Tl 3.07-3.20
As2 0.4676 0.4676 0.1166  1 As 2.43
As3 0.5324 0.5324 0.8834  1 As 2.43
As4 0.7715 0.7715 0.2501  7 Tl 3.07-3.20

Results
- raw total energy (eV/atom) = -3.009
- DOS at the Fermi energy (states/eV/atom) = 0.371


[4]
An optimized crystal structure of RuPtBr. Source: Alexandria, functional PBE-GGA.

abc: 3.7293 3.7293 5.7698
angles: 90.00 90.00 120.00
Closest atoms and distances in Å follow each position.
Positions (direct):
Ru1 0.0000 0.0000 0.0000  3 Pt 2.48, 3 Br 2.60
Pt1 0.6667 0.3333 0.7875  3 Ru 2.48
Br1 0.3333 0.6667 0.2524  3 Ru 2.60

Results
- raw formation energy (eV per formula unit) = 1.6
- DOS at the Fermi energy (states/eV/atom) = 0.779


no.,M_tot (μB per formula unit)
1,0.000
2,0.178
3,0.000
4,1.025